(1)
SmYZnTe3 after structural relaxation. Source: the Open Quantum Materials Database, functional GGA-PBE.

POSCAR file:
```
SmYZnTe3
1.0
2.079 -7.688 0.000
2.079 7.688 0.000
0.000 0.000 10.562
Sm Te Y Zn
2 6 2 2
Direct
0.000 0.000 0.000
0.000 0.000 0.500
0.347 0.653 0.055
0.119 0.881 0.250
0.347 0.653 0.445
0.653 0.347 0.555
0.881 0.119 0.750
0.653 0.347 0.945
0.773 0.227 0.250
0.227 0.773 0.750
0.479 0.521 0.250
0.521 0.479 0.750
```


(2)
Co4Re after structural relaxation. Source: the Open Quantum Materials Database, functional GGA-PBE.

POSCAR file:
```
Co4Re
1.0
8.756 0.000 0.000
0.000 8.756 0.000
0.000 0.000 4.554
Co Re
24 6
Direct
0.730 0.068 0.000
0.459 0.128 0.000
0.932 0.270 0.000
0.128 0.459 0.000
0.872 0.541 0.000
0.068 0.730 0.000
0.541 0.872 0.000
0.270 0.932 0.000
0.687 0.313 0.249
0.313 0.687 0.249
0.187 0.187 0.251
0.813 0.813 0.251
0.628 0.041 0.500
0.432 0.230 0.500
0.959 0.372 0.500
0.230 0.432 0.500
0.770 0.568 0.500
0.041 0.628 0.500
0.568 0.770 0.500
0.372 0.959 0.500
0.187 0.187 0.749
0.813 0.813 0.749
0.687 0.313 0.751
0.313 0.687 0.751
0.000 0.000 0.000
0.394 0.394 0.000
0.606 0.606 0.000
0.894 0.106 0.500
0.500 0.500 0.500
0.106 0.894 0.500
```

ΔH_f (0 K)   2.9 kcal/mol of atoms


(3)
Sc2Co3Mo4N3 after structural relaxation. Source: the Open Quantum Materials Database, functional GGA-PBE.

POSCAR file:
```
Sc2Co3Mo4N3
1.0
4.510 -2.613 0.000
4.510 2.613 0.000
-2.976 0.000 12.798
Co Mo N Sc
6 8 6 4
Direct
0.901 0.587 0.250
0.924 0.076 0.250
0.413 0.099 0.250
0.587 0.901 0.750
0.076 0.924 0.750
0.099 0.413 0.750
0.696 0.863 0.087
0.031 0.191 0.087
0.809 0.969 0.413
0.137 0.304 0.413
0.863 0.696 0.587
0.191 0.031 0.587
0.969 0.809 0.913
0.304 0.137 0.913
0.000 0.500 0.000
0.349 0.804 0.000
0.196 0.651 0.500
0.500 0.000 0.500
0.804 0.349 0.500
0.651 0.196 0.000
0.376 0.540 0.122
0.460 0.624 0.378
0.540 0.376 0.622
0.624 0.460 0.878
```


(4)
ErTaAl after structural relaxation. Source: the Open Quantum Materials Database, functional GGA-PBE.

POSCAR file:
```
ErTaAl
1.0
1.544 -4.364 -1.289
0.602 -3.415 3.327
-2.997 -3.753 0.160
Al Er Ta
1 1 1
Direct
0.250 0.250 0.250
0.000 0.000 0.000
0.750 0.750 0.750
```


(5)
Ac2SbPd6 after structural relaxation. Source: the Open Quantum Materials Database, functional GGA-PBE.

POSCAR file:
```
Ac2SbPd6
1.0
-5.624 0.649 1.977
-4.616 -1.339 -3.586
0.065 -5.751 2.068
Ac Pd Sb
2 6 1
Direct
0.333 0.333 0.191
0.667 0.667 0.809
0.823 0.823 0.320
0.823 0.352 0.322
0.352 0.823 0.322
0.648 0.177 0.678
0.177 0.648 0.678
0.177 0.177 0.680
0.000 0.000 0.000
```


(6)
NaErSO after structural relaxation. Source: the Open Quantum Materials Database, functional GGA-PBE.

POSCAR file:
```
NaErSO
1.0
-4.460 -1.669 4.343
-4.010 1.911 4.671
-6.093 0.582 2.021
Er Na O S
1 1 1 1
Direct
0.014 0.014 0.014
0.495 0.495 0.495
0.734 0.734 0.734
0.256 0.256 0.256
```


(7)
PuNbGa after structural relaxation. Source: the Open Quantum Materials Database, functional GGA-PBE.

POSCAR file:
```
PuNbGa
1.0
3.077 -1.135 3.130
1.408 3.079 3.015
-1.221 -0.364 4.351
Ga Nb Pu
1 1 1
Direct
0.250 0.250 0.250
0.000 0.000 0.000
0.750 0.750 0.750
```


(8)
YHoEr6 after structural relaxation. Source: the Open Quantum Materials Database, functional GGA-PBE.

POSCAR file:
```
YHoEr6
1.0
-1.856 -4.319 5.422
6.779 0.097 -2.352
1.205 4.051 3.639
Er Ho Y
6 1 1
Direct
0.002 0.501 0.000
0.499 0.501 0.000
0.499 0.998 0.000
0.168 0.335 0.500
0.168 0.832 0.500
0.665 0.832 0.500
0.000 0.000 0.000
0.667 0.333 0.500
```

ΔH_f (0 K)   0.0 kcal/mol of atoms


(9)
Co5Re after structural relaxation. Source: the Open Quantum Materials Database, functional GGA-PBE.

POSCAR file:
```
Co5Re
1.0
-1.416 -3.821 -2.112
0.992 -0.087 4.480
-7.333 1.800 1.659
Co Re
10 2
Direct
0.333 0.667 0.077
0.346 0.173 0.250
0.827 0.173 0.250
0.827 0.654 0.250
0.333 0.667 0.423
0.667 0.333 0.577
0.173 0.346 0.750
0.173 0.827 0.750
0.654 0.827 0.750
0.667 0.333 0.923
0.000 0.000 0.000
0.000 0.000 0.500
```

ΔH_f (0 K)   5.9 kcal/mol of atoms


(10)
Y3Mg3TlCuAu after structural relaxation. Source: the Open Quantum Materials Database, functional GGA-PBE.

POSCAR file:
```
Y3Mg3TlCuAu
1.0
-6.914 -2.245 2.712
6.400 -1.207 4.217
-0.481 3.611 1.764
Au Cu Mg Tl Y
1 1 3 1 3
Direct
0.000 0.000 0.000
0.667 0.333 0.500
0.427 0.095 0.000
0.905 0.332 0.000
0.668 0.573 0.000
0.333 0.667 0.000
0.252 0.315 0.500
0.063 0.748 0.500
0.685 0.937 0.500
```


(11)
NdErBi after structural relaxation. Source: the Open Quantum Materials Database, functional GGA-PBE.

POSCAR file:
```
NdErBi
1.0
-1.765 1.288 4.751
-0.948 5.008 1.168
-4.923 1.658 0.599
Bi Er Nd
1 1 1
Direct
0.000 0.000 0.000
0.250 0.250 0.250
0.750 0.750 0.750
```


(12)
ErFeHg after structural relaxation. Source: the Open Quantum Materials Database, functional GGA-PBE.

POSCAR file:
```
ErFeHg
1.0
-1.576 -0.168 4.417
-4.591 0.428 0.871
-2.465 -3.712 1.472
Er Fe Hg
1 1 1
Direct
0.250 0.250 0.250
0.750 0.750 0.750
0.000 0.000 0.000
```

ΔH_f (0 K)   8.2 kcal/mol of atoms


(13)
SrHgSeO after structural relaxation. Source: the Open Quantum Materials Database, functional GGA-PBE.

POSCAR file:
```
SrHgSeO
1.0
-4.318 -3.454 -3.806
5.763 -0.799 -5.812
2.518 -6.952 3.453
Hg O Se Sr
4 4 4 4
Direct
0.372 0.689 0.132
0.628 0.189 0.368
0.128 0.311 0.632
0.872 0.811 0.868
0.564 0.209 0.119
0.436 0.709 0.381
0.936 0.791 0.619
0.064 0.291 0.881
0.973 0.834 0.163
0.027 0.334 0.337
0.527 0.166 0.663
0.473 0.666 0.837
0.239 0.132 0.062
0.761 0.632 0.438
0.261 0.868 0.562
0.739 0.368 0.938
```


(14)
Hf6NO after structural relaxation. Source: the Open Quantum Materials Database, functional GGA-PBE.

POSCAR file:
```
Hf6NO
1.0
2.780 1.605 5.160
-2.780 1.605 5.160
0.000 -3.211 5.160
Hf N O
6 1 1
Direct
0.754 0.406 0.089
0.594 0.911 0.246
0.089 0.754 0.406
0.911 0.246 0.594
0.406 0.089 0.754
0.246 0.594 0.911
0.000 0.000 0.000
0.500 0.500 0.500
```


(15)
Li4MgCdGa2 after structural relaxation. Source: the Open Quantum Materials Database, functional GGA-PBE.

POSCAR file:
```
Li4MgCdGa2
1.0
4.529 0.000 0.000
0.000 4.529 0.000
0.000 0.000 6.395
Cd Ga Li Mg
1 2 4 1
Direct
0.000 0.000 0.500
0.000 0.500 0.247
0.500 0.000 0.753
0.000 0.000 0.000
0.500 0.000 0.255
0.500 0.500 0.500
0.000 0.500 0.745
0.500 0.500 0.000
```


(16)
Cd2CuPd after structural relaxation. Source: the Open Quantum Materials Database, functional GGA-PBE.

POSCAR file:
```
Cd2CuPd
1.0
-2.054 -3.723 4.636
3.620 -2.921 -0.742
2.492 2.332 2.978
Cd Cu Pd
4 2 2
Direct
0.750 0.000 0.500
0.000 0.500 0.500
0.500 0.500 0.500
0.250 0.000 0.500
0.000 0.000 0.000
0.500 0.000 0.000
0.250 0.500 0.000
0.750 0.500 0.000
```

ΔH_f (0 K)   -1.8 kcal/mol of atoms


(17)
HfTl2Te3 after structural relaxation. Source: the Open Quantum Materials Database, functional GGA-PBE.

POSCAR file:
```
HfTl2Te3
1.0
-3.209 2.545 -7.504
-3.891 -0.511 1.490
0.447 10.422 4.743
Hf Te Tl
2 6 4
Direct
0.094 0.750 0.170
0.906 0.250 0.830
0.193 0.250 0.013
0.941 0.250 0.293
0.381 0.750 0.311
0.619 0.250 0.689
0.059 0.750 0.707
0.807 0.750 0.987
0.566 0.250 0.152
0.244 0.250 0.497
0.756 0.750 0.503
0.434 0.750 0.848
```


(18)
Rb2CuBr3 after structural relaxation. Source: the Open Quantum Materials Database, functional GGA-PBE.

POSCAR file:
```
Rb2CuBr3
1.0
13.313 0.000 0.000
0.000 4.453 0.000
0.000 0.000 13.733
Br Cu Rb
12 4 8
Direct
0.138 0.250 0.052
0.435 0.250 0.139
0.727 0.750 0.221
0.227 0.750 0.279
0.935 0.250 0.361
0.638 0.250 0.448
0.362 0.750 0.552
0.065 0.750 0.639
0.773 0.250 0.721
0.273 0.250 0.779
0.565 0.750 0.861
0.862 0.750 0.948
0.255 0.250 0.191
0.755 0.250 0.309
0.245 0.750 0.691
0.745 0.750 0.809
0.674 0.250 0.024
0.987 0.750 0.175
0.487 0.750 0.325
0.174 0.250 0.476
0.826 0.750 0.524
0.513 0.250 0.675
0.013 0.250 0.825
0.326 0.750 0.976
```


(19)
YCuSiPd after structural relaxation. Source: the Open Quantum Materials Database, functional GGA-PBE.

POSCAR file:
```
YCuSiPd
1.0
0.000 3.233 3.233
3.233 0.000 3.233
3.233 3.233 0.000
Cu Pd Si Y
1 1 1 1
Direct
0.750 0.750 0.750
0.500 0.500 0.500
0.250 0.250 0.250
0.000 0.000 0.000
```


(20)
Er3Ga5Co after structural relaxation. Source: the Open Quantum Materials Database, functional GGA-PBE.

POSCAR file:
```
Er3Ga5Co
1.0
-3.574 -0.646 -5.787
-0.949 -4.430 5.113
-3.007 2.469 1.581
Co Er Ga
1 3 5
Direct
0.000 0.000 0.000
0.596 0.000 0.000
0.404 0.404 0.000
0.000 0.596 0.000
0.232 0.000 0.500
0.000 0.232 0.500
0.667 0.333 0.500
0.333 0.667 0.500
0.768 0.768 0.500
```


Number 1: total DFT energy (no corrections) -4.626 eV per atom. Number 2: total DFT energy (no corrections) -8.046 eV per atom. Number 3: total DFT energy (no corrections) -8.948 eV per atom. Number 4: total DFT energy (no corrections) -5.498 eV per atom. Number 5: total DFT energy (no corrections) -5.587 eV per atom. Number 6: total DFT energy (no corrections) -5.992 eV per atom. Number 7: total DFT energy (no corrections) -8.701 eV per atom. Number 8: total DFT energy (no corrections) -4.802 eV per atom. Number 9: total DFT energy (no corrections) -7.735 eV per atom. Number 10: total DFT energy (no corrections) -4.134 eV per atom. Number 11: total DFT energy (no corrections) -4.787 eV per atom. Number 12: total DFT energy (no corrections) -4.033 eV per atom. Number 13: total DFT energy (no corrections) -3.838 eV per atom. Number 14: total DFT energy (no corrections) -10.295 eV per atom. Number 15: total DFT energy (no corrections) -2.279 eV per atom. Number 16: total DFT energy (no corrections) -2.747 eV per atom. Number 17: total DFT energy (no corrections) -4.593 eV per atom. Number 18: total DFT energy (no corrections) -3.033 eV per atom. Number 19: total DFT energy (no corrections) -5.653 eV per atom. Number 20: total DFT energy (no corrections) -4.619 eV per atom.